A geometry-optimized AlSiIrRu structure. Source: the Alexandria database, functional GGA-PBE.

abc: 3.0116 4.1627 4.2119
angles: 90.00 90.00 90.00
Last column: nearest neighbours and their distance in Å.
Space group Pmmm (No. 47)
One atom of each set of equivalent atoms:
Al 0.0000 0.0000 0.0000  4 Ir 2.57, 4 Ru 2.59
Si 0.0000 0.5000 0.5000  4 Ru 2.57, 4 Ir 2.59
Ir 0.5000 0.5000 0.0000  4 Al 2.57, 4 Si 2.59
Ru 0.5000 0.0000 0.5000  4 Si 2.57, 4 Al 2.59

Output
DOS at the Fermi energy   0.250 states/eV/atom
E above lowest polymorph   2 kJ/mol of formula units
Formation energy from raw total energies   -0.731 eV/atom
Electronic total energy   -7.557 eV per atom
Crystal system   orthorhombic


A geometry-optimized NiHCl structure. Source: the Alexandria database, functional GGA-PBE.

abc: 8.3535 3.1006 6.0838
angles: 90.00 90.00 90.00
Last column: nearest neighbours and their distance in Å.
Space group Pnma (No. 62)
One atom of each set of equivalent atoms:
Ni 0.1171 0.2500 0.0418  1 H 1.56
H 0.0189 0.7500 0.1340  1 Ni 1.56
Cl 0.2025 0.2500 0.4129  3 Ni 2.30-2.37

Output
DOS at the Fermi energy   0.700 states/eV/atom
E above lowest polymorph   4 kJ/mol of formula units
Electronic total energy   -3.825 eV per atom
Crystal system   orthorhombic


A geometry-optimized Nd6Sm8Th structure. Source: the Alexandria database, functional GGA-PBE.

abc: 9.2629 9.2629 21.0709
angles: 90.00 90.00 120.00
Last column: nearest neighbours and their distance in Å.
Space group R-3 (No. 148, hexagonal axes)
One atom of each set of equivalent atoms:
Nd 0.0569 0.8093 0.2089  4 Sm 3.45-3.76, 1 Th 3.53, 4 Nd 3.60-3.85
Sm 0.0000 0.0000 0.0772  4 Sm 3.25-3.49, 3 Nd 3.47
Sm 0.0811 0.5214 0.3053  3 Nd 3.45-3.76, 5 Sm 3.49-3.53, 1 Th 3.56
Th 0.0000 0.0000 0.5000  6 Nd 3.53, 6 Sm 3.56

Output
DOS at the Fermi energy   1.592 states/eV/atom
Electronic total energy   -4.802 eV per atom
Energy relative to the elements   0.12 eV/atom
Crystal system   trigonal


A geometry-optimized Ta3AlMo2 structure. Source: the Alexandria database, functional GGA-PBE.

abc: 4.4886 13.6446 3.3097
angles: 90.00 90.00 90.00
Last column: nearest neighbours and their distance in Å.
Space group Cmmm (No. 65)
One atom of each set of equivalent atoms:
Ta 0.0000 0.0000 0.0000  4 Mo 2.76, 4 Al 2.79
Ta 0.0000 0.3295 0.0000  6 Mo 2.79-2.83, 2 Al 2.86, 2 Ta 3.12
Al 0.0000 0.5000 0.5000  8 Ta 2.79-2.86
Mo 0.0000 0.1616 0.5000  8 Ta 2.76-2.83

Output
DOS at the Fermi energy   0.422 states/eV/atom
Electronic total energy   -10.363 eV per atom
Energy relative to the elements   -0.20 eV/atom
Crystal system   orthorhombic


A geometry-optimized Er3In2Ag4 structure. Source: the Alexandria database, functional GGA-PBE.

abc: 10.8082 4.8221 9.0212
angles: 90.00 119.78 90.00
Last column: nearest neighbours and their distance in Å.
Space group C2/m (No. 12)
One atom of each set of equivalent atoms:
Er 0.0000 0.0000 0.0000  8 Ag 3.26-3.30, 4 In 3.31, 2 Er 3.37
Er 0.1604 0.5000 0.6761  8 Ag 3.14-3.36, 4 In 3.23-3.31, 2 Er 3.34-3.37
In 0.1236 0.5000 0.2896  3 Ag 2.79-2.80
Ag 0.0634 0.0000 0.3973  2 In 2.79, 1 Ag 2.80
Ag 0.2214 0.5000 0.0549  2 Ag 2.79, 1 In 2.80

Output
DOS at the Fermi energy   0.618 states/eV/atom
Electronic total energy   -3.724 eV per atom
Energy relative to the elements   -0.33 eV/atom
Crystal system   monoclinic


A geometry-optimized CoCl8 structure. Source: the Alexandria database, functional GGA-PBE.

abc: 7.9819 7.9819 8.0445
angles: 90.00 90.00 90.00
Last column: nearest neighbours and their distance in Å.
Space group I4/mmm (No. 139)
One atom of each set of equivalent atoms:
Co 0.0000 0.0000 0.0000  4 Cl 2.17
Cl 0.0000 0.2715 0.0000  1 Co 2.17
Cl 0.1666 0.1666 0.5000  4 Cl 2.66-2.71

Output
DOS at the Fermi energy   1.055 states/eV/atom
Formation energy from raw total energies   0.091 eV/atom
Electronic total energy   -2.340 eV per atom
Crystal system   tetragonal


A geometry-optimized PrErNi2P2 structure. Source: the Alexandria database, functional GGA-PBE.

abc: 3.9228 3.9228 7.9383
angles: 90.00 90.00 120.00
Last column: nearest neighbours and their distance in Å.
Space group P-3m1 (No. 164)
One atom of each set of equivalent atoms:
Pr 0.0000 0.0000 0.0000  6 Ni 3.07, 6 P 3.09
Er 0.0000 0.0000 0.5000  6 P 2.94, 6 Ni 2.95
Ni 0.3333 0.6667 0.7391  3 P 2.26
P 0.3333 0.6667 0.2641  3 Ni 2.26

Output
DOS at the Fermi energy   0.462 states/eV/atom
Electronic total energy   -6.468 eV per atom
Energy relative to the elements   -1.18 eV/atom
Crystal system   trigonal


A geometry-optimized TlIn2HgPb4 structure. Source: the Alexandria database, functional GGA-PBE.

abc: 6.0780 3.5164 11.3050
angles: 90.00 100.49 90.00
Last column: nearest neighbours and their distance in Å.
Space group P2/m (No. 10)
One atom of each set of equivalent atoms:
Tl 0.0000 0.0000 0.0000  6 Pb 3.48-3.49, 4 In 3.51, 2 Tl 3.52
In 0.5000 0.0000 0.5000  6 Pb 3.38-3.41, 4 Hg 3.51, 2 In 3.52
In 0.5000 0.5000 0.0000  6 Pb 3.47-3.51, 4 Tl 3.51, 2 In 3.52
Hg 0.0000 0.5000 0.5000  6 Pb 3.38-3.41, 4 In 3.51, 2 Hg 3.52
Pb 0.2493 0.0000 0.7463  2 Hg 3.41, 3 In 3.41-3.47, 1 Tl 3.48, 6 Pb 3.51-3.52
Pb 0.2507 0.5000 0.2564  1 Hg 3.38, 3 In 3.38-3.51, 2 Tl 3.49, 6 Pb 3.51-3.52

Output
DOS at the Fermi energy   0.428 states/eV/atom
Electronic total energy   -2.857 eV per atom
Energy relative to the elements   0.02 eV/atom
Crystal system   monoclinic


A geometry-optimized BaBi2Pb structure. Source: the Alexandria database, functional GGA-PBE.

abc: 5.0046 5.0046 12.0717
angles: 90.00 90.00 90.00
Last column: nearest neighbours and their distance in Å.
Space group P4/nmm (No. 129, origin choice 2)
One atom of each set of equivalent atoms:
Ba 0.2500 0.2500 0.2213  8 Bi 3.66-3.71
Bi 0.2500 0.2500 0.6855  4 Pb 3.36, 4 Ba 3.71
Bi 0.2500 0.7500 0.0000  4 Bi 3.54, 4 Ba 3.66
Pb 0.2500 0.7500 0.5000  4 Bi 3.36, 4 Pb 3.54

Output
DOS at the Fermi energy   0.324 states/eV/atom
Electronic total energy   -3.764 eV per atom
Energy relative to the elements   -0.42 eV/atom
Crystal system   tetragonal


A geometry-optimized La4CrMo structure. Source: the Alexandria database, functional GGA-PBE.

abc: 8.9898 8.9898 8.9898
angles: 90.00 90.00 90.00
Last column: nearest neighbours and their distance in Å.
Space group F-43m (No. 216)
One atom of each set of equivalent atoms:
La 0.1245 0.1245 0.1245  6 La 3.17-3.19
Cr 0.0000 0.0000 0.5000  12 La 3.73, 4 Mo 3.89
Mo 0.2500 0.2500 0.7500  12 La 3.73, 4 Cr 3.89

Output
DOS at the Fermi energy   1.660 states/eV/atom
Electronic total energy   -5.621 eV per atom
Energy relative to the elements   1.07 eV/atom
Crystal system   cubic


A geometry-optimized AcLa2PrHo structure. Source: the Alexandria database, functional GGA-PBE.

abc: 6.6354 17.7287 6.6085
angles: 90.00 90.00 90.00
Last column: nearest neighbours and their distance in Å.
Space group Cmcm (No. 63)
One atom of each set of equivalent atoms:
Ac 0.0000 0.1581 0.2500  1 Pr 3.31, 2 Ho 3.65, 4 La 3.67
La 0.2448 0.5000 0.0000  4 La 3.25-3.39, 2 Pr 3.60
Pr 0.0000 0.3448 0.2500  1 Ac 3.31, 4 La 3.60, 2 Ho 3.66
Ho 0.0000 0.2566 0.7500  4 Ac 3.65-3.74, 4 Pr 3.66-3.77

Output
DOS at the Fermi energy   1.500 states/eV/atom
Electronic total energy   -4.308 eV per atom
Energy relative to the elements   0.36 eV/atom
Crystal system   orthorhombic


A geometry-optimized Pm5ErTl structure. Source: the Alexandria database, functional GGA-PBE.

abc: 4.8140 4.8140 10.4105
angles: 90.00 90.00 90.00
Last column: nearest neighbours and their distance in Å.
Space group P4/mmm (No. 123)
One atom of each set of equivalent atoms:
Pm 0.0000 0.0000 0.0000  4 Tl 3.40, 8 Pm 3.51
Pm 0.0000 0.5000 0.2450  6 Pm 3.40-3.51, 2 Tl 3.51, 2 Er 3.58
Er 0.5000 0.5000 0.5000  8 Pm 3.58
Tl 0.5000 0.5000 0.0000  12 Pm 3.40-3.51

Output
DOS at the Fermi energy   1.398 states/eV/atom
Electronic total energy   -4.212 eV per atom
Energy relative to the elements   0.17 eV/atom
Crystal system   tetragonal